[1]
Ce6TlPb5: optimized geometry, PBE.

```
Ce6TlPb5
1.0
0.2640 -2.4165 -4.4501
1.6046 -6.4113 6.4654
-8.6371 3.2408 0.6166
Pb Tl Ce
5 1 6
Direct
0.5000 0.1642 0.8358
0.0000 0.3336 0.6664
0.5000 0.5000 0.5000
0.0000 0.6664 0.3336
0.5000 0.8358 0.1642
0.0000 0.0000 0.0000
0.2499 0.0833 0.4165
0.7501 0.5835 0.9167
0.7499 0.2499 0.2499
0.2501 0.7501 0.7501
0.2499 0.4165 0.0833
0.7501 0.9167 0.5835
```

Summary:
SG   Immm, No. 71
Relative energy among the computed polymorphs   0 meV per atom



[2]
Ce5TlPb4: optimized geometry, PBE.

```
Ce5TlPb4
1.0
-2.4033 1.4081 3.1575
3.1062 -0.8089 2.7250
5.9881 15.3251 -2.2768
Ce Tl Pb
5 1 4
Direct
0.5000 0.5000 0.1017
0.5000 0.5000 0.3002
0.5000 0.5000 0.5000
0.5000 0.5000 0.6998
0.5000 0.5000 0.8983
0.0000 0.0000 0.0000
0.0000 0.0000 0.1996
0.0000 0.0000 0.4001
0.0000 0.0000 0.5999
0.0000 0.0000 0.8004
```

Summary:
SG   P4/mmm, No. 123



[3]
Ce8Tl2Pb: optimized geometry, PBE.

```
Ce8Tl2Pb
1.0
-2.4814 -4.7366 -2.2256
0.8909 -6.8426 5.1493
-5.6702 -1.7550 5.8470
Ce Tl Pb
8 2 1
Direct
0.9096 0.0823 0.1918
0.9096 0.2741 0.8082
0.3524 0.4086 0.0000
0.5000 0.7680 0.4640
0.5000 0.2320 0.5360
0.6476 0.5914 0.0000
0.0904 0.7259 0.1918
0.0904 0.9177 0.8082
0.0000 0.3115 0.3769
0.0000 0.6885 0.6231
0.5000 0.0000 0.0000
```

Summary:
SG   C2/m, No. 12



[4]
Ce2TlPb3: optimized geometry, PBE.

```
Ce2TlPb3
1.0
5.7012 0.0000 0.0000
0.0000 6.5227 0.0000
-2.8506 -3.2614 5.2523
Ce Tl Pb
2 1 3
Direct
0.6778 0.1778 0.3556
0.3222 0.8222 0.6444
0.0000 0.5000 0.0000
0.3303 0.3303 0.6605
0.0000 0.0000 0.0000
0.6697 0.6697 0.3395
```

Summary:
SG   Immm, No. 71
Relative energy among the computed polymorphs   266 meV per atom



[5]
Ce7TlPb2: optimized geometry, PBE.

```
Ce7TlPb2
1.0
-3.0896 -3.2400 2.9052
5.2882 -0.0014 0.7201
-1.1274 8.5137 8.2959
Ce Tl Pb
7 1 2
Direct
0.6667 0.3333 0.6223
0.6667 0.3333 0.8529
0.0000 0.0000 0.6395
0.0000 0.0000 0.2506
0.3333 0.6667 0.4566
0.3333 0.6667 0.0571
0.6667 0.3333 0.0789
0.0000 0.0000 0.9652
0.3333 0.6667 0.7423
0.6667 0.3333 0.3512
```

Summary:
SG   P3m1, No. 156



[6]
Ce4Tl2Pb: optimized geometry, PBE.

```
Ce4Tl2Pb
1.0
-2.0064 4.4390 -3.6055
-4.0911 -3.7840 -2.3821
-1.0681 1.3675 7.3717
Pb Tl Ce
1 2 4
Direct
0.0000 0.0000 0.0000
0.6290 0.6290 0.2580
0.3710 0.3710 0.7420
0.7500 0.2500 0.5000
0.2500 0.7500 0.5000
0.5000 0.0000 0.0000
0.0000 0.5000 0.0000
```

Summary:
SG   I4/mmm, No. 139
Relative energy among the computed polymorphs   80 meV per atom



[7]
Ce2TlPb5: optimized geometry, PBE.

```
Ce2TlPb5
1.0
-4.2702 -1.4008 2.0100
3.0383 -0.4251 6.1587
-3.1607 13.1783 2.4690
Ce Tl Pb
4 2 10
Direct
0.5000 0.2570 0.6269
0.5000 0.7430 0.3731
0.5000 0.2430 0.1269
0.5000 0.7570 0.8731
0.0000 0.0000 0.5000
0.0000 0.5000 0.0000
0.0000 0.0000 0.0000
0.0000 0.5000 0.5000
0.0000 0.5065 0.7508
0.0000 0.4935 0.2492
0.0000 0.9935 0.2508
0.0000 0.0065 0.7492
0.5000 0.2565 0.8768
0.5000 0.7435 0.1232
0.5000 0.2435 0.3768
0.5000 0.7565 0.6232
```

Summary:
SG   Pbam, No. 55



[8]
Ce6Tl2Pb: optimized geometry, PBE.

```
Ce6Tl2Pb
1.0
3.2321 0.0000 0.0000
1.6160 9.5267 1.5786
1.6160 4.2476 8.6722
Ce Tl Pb
6 2 1
Direct
0.1640 0.4904 0.1816
0.8360 0.5096 0.8184
0.8360 0.8184 0.5096
0.0000 0.1537 0.8463
0.0000 0.8463 0.1537
0.1640 0.1816 0.4904
0.3410 0.1590 0.1590
0.6590 0.8410 0.8410
0.5000 0.5000 0.5000
```

Summary:
SG   Immm, No. 71
Relative energy among the computed polymorphs   31 meV per atom



[9]
CeTl2Pb2: optimized geometry, PBE.

```
CeTl2Pb2
1.0
-5.2418 0.6544 -0.9651
1.9687 -4.9112 0.9165
-2.1859 1.5335 12.9126
Ce Tl Pb
2 4 4
Direct
0.0000 0.0000 0.2500
0.0000 0.0000 0.7500
0.6667 0.3333 0.7500
0.0000 0.0000 0.0000
0.0000 0.0000 0.5000
0.3333 0.6667 0.2500
0.3333 0.6667 0.6204
0.6667 0.3333 0.1204
0.6667 0.3333 0.3796
0.3333 0.6667 0.8796
```

Summary:
SG   P6_3/mmc, No. 194



[10]
Ce5TlPb3: optimized geometry, PBE.

```
Ce5TlPb3
1.0
6.6440 0.0000 0.0000
0.0000 9.6921 0.0000
0.0000 -4.8461 8.3936
Ce Tl Pb
10 2 6
Direct
0.0000 0.3333 0.6667
0.5000 0.6667 0.3333
0.0000 0.6667 0.3333
0.5000 0.3333 0.6667
0.7500 0.7087 0.0000
0.7500 0.2913 0.2913
0.7500 0.0000 0.7087
0.2500 0.2913 0.0000
0.2500 0.7087 0.7087
0.2500 0.0000 0.2913
0.0000 0.0000 0.0000
0.5000 0.0000 0.0000
0.7500 0.3681 0.0000
0.7500 0.6319 0.6319
0.7500 0.0000 0.3681
0.2500 0.6319 0.0000
0.2500 0.3681 0.3681
0.2500 0.0000 0.6319
```

Summary:
SG   P6_3/mcm, No. 193



[11]
Ce2TlPb4: optimized geometry, PBE.

```
Ce2TlPb4
1.0
4.7649 0.0000 0.0000
0.0000 6.6731 -1.2295
0.0000 0.9217 6.7225
Pb Tl Ce
4 1 2
Direct
0.0000 0.7699 0.7699
0.0000 0.2301 0.2301
0.5000 0.0000 0.5000
0.5000 0.5000 0.0000
0.5000 0.5000 0.5000
0.0000 0.7417 0.2583
0.0000 0.2583 0.7417
```

Summary:
SG   Cmmm, No. 65



[12]
Ce3Tl2Pb3: optimized geometry, PBE.

```
Ce3Tl2Pb3
1.0
-1.5097 3.8872 2.4662
-0.2439 -2.5423 3.8578
10.8490 1.7765 -0.9177
Ce Tl Pb
3 2 3
Direct
0.1311 0.1311 0.2622
0.0000 0.5000 0.0000
0.8689 0.8689 0.7378
0.7441 0.2441 0.4883
0.2559 0.7559 0.5117
0.6192 0.6192 0.2385
0.3808 0.3808 0.7615
0.5000 0.0000 0.0000
```

Summary:
SG   Immm, No. 71



[13]
CeTlPb2: optimized geometry, PBE.

```
CeTlPb2
1.0
-4.0385 0.3219 3.8608
-4.5414 -3.2427 -0.4240
-0.7739 -4.2159 3.5980
Pb Tl Ce
2 1 1
Direct
0.7500 0.7500 0.7500
0.2500 0.2500 0.2500
0.5000 0.5000 0.5000
0.0000 0.0000 0.0000
```

Summary:
SG   Fm-3m, No. 225
Relative energy among the computed polymorphs   255 meV per atom



[14]
Ce6TlPb2: optimized geometry, PBE.

```
Ce6TlPb2
1.0
-0.8964 2.0160 -2.4233
-9.0836 1.2396 2.1754
-2.5471 7.5592 5.0150
Ce Tl Pb
6 1 2
Direct
0.6539 0.0303 0.6618
0.3461 0.9697 0.3382
0.3461 0.3382 0.9697
0.5000 0.6742 0.3258
0.5000 0.3258 0.6742
0.6539 0.6618 0.0303
0.0000 0.0000 0.0000
0.8368 0.6632 0.6632
0.1632 0.3368 0.3368
```

Summary:
SG   Immm, No. 71
Relative energy among the computed polymorphs   11 meV per atom



[15]
Ce8TlPb2: optimized geometry, PBE.

```
Ce8TlPb2
1.0
0.5317 -3.9018 -4.3693
7.8338 -3.5755 -0.4663
1.8133 -6.9663 4.1353
Ce Tl Pb
8 1 2
Direct
0.9103 0.0829 0.1896
0.9103 0.2725 0.8104
0.3609 0.4060 0.0000
0.5000 0.7689 0.4623
0.5000 0.2311 0.5377
0.6391 0.5940 0.0000
0.0897 0.7275 0.1896
0.0897 0.9171 0.8104
0.5000 0.0000 0.0000
0.0000 0.3111 0.3777
0.0000 0.6889 0.6223
```

Summary:
SG   C2/m, No. 12



[16]
Ce4TlPb5: optimized geometry, PBE.

```
Ce4TlPb5
1.0
-5.5065 -1.2873 1.6753
0.7179 -6.1830 -2.3914
5.2383 -0.6304 6.3513
Ce Tl Pb
4 1 5
Direct
0.6907 0.3203 0.3814
0.0936 0.8297 0.1871
0.3093 0.6797 0.6186
0.9064 0.1703 0.8129
0.5000 0.0000 0.0000
0.2981 0.1793 0.5961
0.1112 0.3495 0.2224
0.8888 0.6505 0.7776
0.5000 0.5000 0.0000
0.7019 0.8207 0.4039
```

Summary:
SG   C2/m, No. 12
Relative energy among the computed polymorphs   0 meV per atom



[17]
Ce7TlPb3: optimized geometry, PBE.

```
Ce7TlPb3
1.0
6.1313 -0.1508 -0.1931
-2.8828 7.7602 -0.0405
-2.8828 -1.9206 7.5189
Ce Tl Pb
7 1 3
Direct
0.1511 0.1509 0.1509
0.3554 0.0992 0.6116
0.6446 0.3884 0.9008
0.3554 0.6116 0.0992
0.0000 0.5000 0.5000
0.6446 0.9008 0.3884
0.8489 0.8491 0.8491
0.5000 0.5000 0.5000
0.0000 0.7594 0.2406
0.5000 0.0000 0.0000
0.0000 0.2406 0.7594
```

Summary:
SG   Immm, No. 71



[18]
Ce2TlPb: optimized geometry, PBE.

```
Ce2TlPb
1.0
5.0138 -0.2511 0.3675
0.1829 6.5702 1.8129
-0.5635 -1.1984 6.6883
Ce Tl Pb
4 2 2
Direct
0.2497 0.6254 0.1290
0.7503 0.8710 0.3746
0.7503 0.3746 0.8710
0.2497 0.1290 0.6254
0.7495 0.8770 0.8770
0.2505 0.1230 0.1230
0.7497 0.3679 0.3679
0.2503 0.6321 0.6321
```

Summary:
SG   C2/m, No. 12



[19]
CeTlPb2: optimized geometry, PBE.

```
CeTlPb2
1.0
-1.4297 3.9392 -0.8076
-2.9207 -0.4281 3.0823
4.3690 2.5058 4.4880
Pb Tl Ce
2 1 1
Direct
0.0000 0.0000 0.7588
0.0000 0.0000 0.2412
0.5000 0.5000 0.5000
0.5000 0.5000 0.0000
```

Summary:
SG   P4/mmm, No. 123
Relative energy among the computed polymorphs   187 meV per atom



[20]
Ce2TlPb: optimized geometry, PBE.

```
Ce2TlPb
1.0
-3.1989 0.6524 2.6209
2.5935 -0.3920 3.2630
1.2064 6.5884 -0.1674
Pb Tl Ce
1 1 2
Direct
0.5000 0.5000 0.0000
0.5000 0.5000 0.5000
0.0000 0.0000 0.7530
0.0000 0.0000 0.2470
```

Summary:
SG   P4/mmm, No. 123



Per-record DFT total energy, eV per atom: -5.083, -5.052, -5.157, -4.322, -5.262, -4.515, -4.442, -4.982, -3.632, -5.180, -4.429, -4.486, -4.002, -5.178, -5.321, -4.781, -5.185, -4.809, -4.070, -4.802